This record from the Alexandria database describes MgSO4 at its PBEsol-relaxed geometry. The functional is meta-GGA SCAN.

Cell: 4.7579 6.6843 8.6124 Å, 90.00 90.00 90.00°
Fractional positions:
O1 0.6626 0.5672 0.1252
O2 0.5370 0.7500 0.3533
O3 0.1626 0.4328 0.3748
O4 0.1626 0.0672 0.3748
O5 0.3374 0.4328 0.8748
O6 0.6626 0.9328 0.1252
O7 0.7743 0.2500 0.8761
O8 0.8374 0.5672 0.6252
O9 0.0369 0.2500 0.1467
O10 0.2743 0.7500 0.6239
O11 0.7257 0.2500 0.3761
O12 0.3374 0.0672 0.8748
O13 0.9630 0.7500 0.8533
O14 0.8374 0.9328 0.6252
O15 0.4630 0.2500 0.6467
O16 0.2257 0.7500 0.1239
Mg1 0.5000 0.5000 0.5000
Mg2 0.5000 0.0000 0.5000
Mg3 0.0000 0.0000 0.0000
Mg4 0.0000 0.5000 0.0000
S1 0.9767 0.7500 0.6787
S2 0.5233 0.7500 0.1787
S3 0.4767 0.2500 0.8213
S4 0.0233 0.2500 0.3213

Computed properties:
D(E_F)	0.00	states/eV/cell
formation energy (no corrections)	-2217	meV per atom
size of the total moment	0.00	μB/cell
calculated total energy	-8.8052	eV/atom